## LaCeDyTh (PBE)

Data for a relaxed structure of LaCeDyTh.

Cell and atoms, written as extended XYZ:
```
4
Lattice="5.6916 0.0000 0.0000 2.8458 4.9291 0.0000 2.8458 1.6430 4.6472" Properties=species:S:1:pos:R:3 pbc="T T T"
Ce 5.6916 3.2861 2.3236
Dy 0.0000 0.0000 0.0000
La 2.8458 1.6430 1.1618
Th 8.5375 4.9291 3.4854
```

Computed properties:
Formation enthalpy at 0 K: 0.21 eV per atom
VASP energy: -5.51 eV/atom
Energy above the most stable polymorph in this dataset: 0.72 eV per formula unit
Magnetization: 1.4 μB/cell